LiSm2TmIn4 | PBE-GGA | optimized geometry

It has space group R-3m (No. 166, hexagonal axes), with a = 5.2389 Å, b = 5.2389 Å, c = 26.2514 Å, α = 90.00°, β = 90.00° and γ = 120.00°. Symmetry generates all atoms from Li at (0.0000, 0.0000, 0.0000), Sm at (0.0000, 0.0000, 0.2547), Tm at (0.0000, 0.0000, 0.5000), In at (0.0000, 0.0000, 0.1247) and In at (0.0000, 0.0000, 0.3748).

The calculation puts the formation energy at -40.45 kJ per mole of atoms.